# 1
This record from Alexandria describes an optimized crystal structure of Pa2Mn2WN6. The functional is GGA-PBE.

Summary:
- VASP energy (eV per atom) = -9.802
- magnetic moment (μB per atom) = 0.000
- formation energy (no corrections) (eV per atom) = -0.6895
- calculated density (g cm⁻³) = 11.0

The structure in POSCAR format:
```
Pa2Mn2WN6
1.0
2.940 -4.911 0.000
2.940 4.911 0.000
-1.710 0.000 4.395
Pa Mn W N
2 2 1 6
direct
0.156 0.844 0.000
0.844 0.156 0.000
0.345 0.655 0.500
0.655 0.345 0.500
0.500 0.500 0.000
0.108 0.438 0.745
0.294 0.294 0.283
0.438 0.108 0.745
0.562 0.892 0.255
0.706 0.706 0.717
0.892 0.562 0.255
```



# 2
This record from Alexandria describes an optimized crystal structure of Pa2MnWN6. The functional is GGA-PBE.

Summary:
- VASP energy (eV per atom) = -9.934
- magnetic moment (μB per atom) = 0.436
- formation energy (no corrections) (eV per atom) = -0.8269
- calculated density (g cm⁻³) = 9.8

The structure in POSCAR format:
```
Pa2MnWN6
1.0
5.270 0.000 0.000
0.000 5.270 0.000
0.000 0.000 4.766
Pa Mn W N
2 1 1 6
direct
0.000 0.500 0.000
0.500 0.000 0.000
0.000 0.000 0.585
0.500 0.500 0.580
0.000 0.000 0.189
0.251 0.251 0.724
0.251 0.749 0.724
0.500 0.500 0.190
0.749 0.251 0.724
0.749 0.749 0.724
```



# 3
This record from Alexandria describes an optimized crystal structure of YPaMnN4. The functional is GGA-PBE.

Summary:
- VASP energy (eV per atom) = -9.459
- magnetic moment (μB per atom) = 0.072
- formation energy (no corrections) (eV per atom) = -1.1120
- calculated density (g cm⁻³) = 8.7

The structure in POSCAR format:
```
YPaMnN4
1.0
-1.843 1.843 6.065
1.843 -1.843 6.065
1.843 1.843 -6.065
Y Pa Mn N
1 1 1 4
direct
0.000 0.000 0.000
0.715 0.715 0.000
0.354 0.354 0.000
0.185 0.185 0.000
0.351 0.851 0.500
0.537 0.537 0.000
0.851 0.351 0.500
```



# 4
This record from Alexandria describes an optimized crystal structure of PaMnZn2N4. The functional is GGA-PBE.

Summary:
- VASP energy (eV per atom) = -7.199
- magnetic moment (μB per atom) = 0.497
- formation energy (no corrections) (eV per atom) = -0.3848
- calculated density (g cm⁻³) = 7.3

The structure in POSCAR format:
```
PaMnZn2N4
1.0
0.000 3.448 4.555
3.434 0.000 4.555
3.434 3.448 0.000
Pa Mn Zn N
1 1 2 4
direct
0.000 0.000 0.000
0.502 0.502 0.498
0.251 0.251 0.249
0.751 0.751 0.749
0.149 0.605 0.395
0.397 0.856 0.603
0.605 0.149 0.851
0.856 0.397 0.144
```